Record 1
# Ce2PrNdSb5 | Alexandria via LeMat-Bulk | GGA-PBE | optimized geometry
data_Ce2PrNdSb5
_space_group_name_H-M_alt 'P 1'
_space_group_IT_number 1
_space_group_name_Hall 'P 1'
_cell_length_a 5.414
_cell_length_b 5.414
_cell_length_c 11.879
_cell_angle_alpha 90.00
_cell_angle_beta 90.00
_cell_angle_gamma 90.00
loop_
_atom_site_label
_atom_site_fract_x
_atom_site_fract_y
_atom_site_fract_z
Ce1 0.500 0.500 0.281
Ce2 0.500 0.500 0.719
Pr1 0.000 0.000 0.000
Nd1 0.000 0.000 0.500
Sb1 0.000 0.500 0.500
Sb2 0.500 0.000 0.500
Sb3 0.000 0.000 0.752
Sb4 0.000 0.000 0.248
Sb5 0.500 0.500 0.000
# - formation energy from raw total energies (eV per formula unit) = -1.7
# - crystal system = tetragonal

Record 2
# PmPaTlPb | Alexandria via LeMat-Bulk | GGA-PBE | optimized geometry
data_PmPaTlPb
_space_group_name_H-M_alt 'P 1'
_space_group_IT_number 1
_space_group_name_Hall 'P 1'
_cell_length_a 5.456
_cell_length_b 5.456
_cell_length_c 5.456
_cell_angle_alpha 60.00
_cell_angle_beta 60.00
_cell_angle_gamma 60.00
loop_
_atom_site_label
_atom_site_fract_x
_atom_site_fract_y
_atom_site_fract_z
Pb1 0.500 0.500 0.500
Tl1 0.000 0.000 0.000
Pa1 0.750 0.750 0.750
Pm1 0.250 0.250 0.250
# - crystal system = cubic

Record 3
# MnFeRe2H | Alexandria via LeMat-Bulk | GGA-PBE | optimized geometry
data_MnFeRe2H
_space_group_name_H-M_alt 'P 1'
_space_group_IT_number 1
_space_group_name_Hall 'P 1'
_cell_length_a 3.892
_cell_length_b 3.892
_cell_length_c 3.630
_cell_angle_alpha 90.00
_cell_angle_beta 90.00
_cell_angle_gamma 90.00
loop_
_atom_site_label
_atom_site_fract_x
_atom_site_fract_y
_atom_site_fract_z
Re1 0.000 0.500 0.000
Re2 0.500 0.000 0.000
Mn1 0.500 0.500 0.500
Fe1 0.000 0.000 0.500
H1 0.000 0.000 0.000
# - crystal system = tetragonal

Record 4
# ScPtW2 | Alexandria via LeMat-Bulk | GGA-PBE | optimized geometry
data_ScPtW2
_space_group_name_H-M_alt 'P 1'
_space_group_IT_number 1
_space_group_name_Hall 'P 1'
_cell_length_a 2.780
_cell_length_b 2.780
_cell_length_c 8.737
_cell_angle_alpha 90.00
_cell_angle_beta 90.00
_cell_angle_gamma 90.00
loop_
_atom_site_label
_atom_site_fract_x
_atom_site_fract_y
_atom_site_fract_z
Pt1 0.000 0.000 0.489
Sc1 0.500 0.500 0.738
W1 0.000 0.000 0.008
W2 0.500 0.500 0.266
# - crystal system = tetragonal

Record 5
# CsCd12Hg6 | Alexandria via LeMat-Bulk | GGA-PBE | optimized geometry
data_CsCd12Hg6
_space_group_name_H-M_alt 'P 1'
_space_group_IT_number 1
_space_group_name_Hall 'P 1'
_cell_length_a 8.194
_cell_length_b 8.194
_cell_length_c 8.194
_cell_angle_alpha 98.96
_cell_angle_beta 98.96
_cell_angle_gamma 98.96
loop_
_atom_site_label
_atom_site_fract_x
_atom_site_fract_y
_atom_site_fract_z
Cs1 0.000 0.000 0.000
Cd1 0.785 0.215 0.500
Cd2 0.397 0.142 0.397
Cd3 0.397 0.397 0.142
Cd4 0.858 0.603 0.603
Cd5 0.603 0.603 0.858
Cd6 0.603 0.858 0.603
Cd7 0.500 0.785 0.215
Cd8 0.215 0.500 0.785
Cd9 0.215 0.785 0.500
Cd10 0.500 0.215 0.785
Cd11 0.785 0.500 0.215
Cd12 0.142 0.397 0.397
Hg1 0.867 0.380 0.867
Hg2 0.867 0.867 0.380
Hg3 0.380 0.867 0.867
Hg4 0.133 0.133 0.620
Hg5 0.133 0.620 0.133
Hg6 0.620 0.133 0.133
# - energy relative to the lowest polymorph listed for this composition (eV/f.u.) = 0.587
# - crystal system = trigonal

Record 6
# LaMg4Sc5 | Alexandria via LeMat-Bulk | GGA-PBE | optimized geometry
data_LaMg4Sc5
_space_group_name_H-M_alt 'P 1'
_space_group_IT_number 1
_space_group_name_Hall 'P 1'
_cell_length_a 3.582
_cell_length_b 3.582
_cell_length_c 19.238
_cell_angle_alpha 90.00
_cell_angle_beta 90.00
_cell_angle_gamma 90.00
loop_
_atom_site_label
_atom_site_fract_x
_atom_site_fract_y
_atom_site_fract_z
La1 0.000 0.000 0.000
Mg1 0.000 0.000 0.218
Mg2 0.000 0.000 0.406
Mg3 0.000 0.000 0.594
Mg4 0.000 0.000 0.782
Sc1 0.500 0.500 0.125
Sc2 0.500 0.500 0.312
Sc3 0.500 0.500 0.500
Sc4 0.500 0.500 0.688
Sc5 0.500 0.500 0.875
# - crystal system = tetragonal

One value per record, in order, for total moment: 1.83, 2.24, 0.10, 0.00, 0.00, 0.00 μB per formula unit.
One value per record, in order, for total DFT energy (no corrections): -43.72, -20.36, -45.26, -38.77, -13.16, -43.11 eV per formula unit.